Na2GaAsOs | PBE-GGA | optimized geometry

The structure in POSCAR format:
```
Na2GaAsOs
1.0
5.514 0.000 0.000
0.000 4.764 0.000
0.000 0.000 5.514
Na As Os Ga
2 1 1 1
direct
0.000 0.000 0.500
0.500 0.000 0.000
0.500 0.500 0.500
0.000 0.000 0.000
0.000 0.500 0.000
```

Results
- Theoretical density: 4.366 g cm⁻³
- M_tot: 3.17 μB/cell
- Energy of formation from the pure elements: 1.04 eV per atom